Entry 1:
First-principles (PBE) data for crystalline LaSc2N at its relaxed geometry, as listed in Alexandria.

Output
The calculated density comes out at 5.200 g/cm3. The final energy is -26.910 eV/cell. Its density of states at the Fermi level is 1.346 states/eV per atom. The space group is P4/mmm (123). For the total magnetization, the calculation gives 0.0 μB per formula unit. The value obtained for the volume is 77.55 Å³ per cell.

Cell lengths 2.983, 2.983, 8.718 Å; angles 90.00, 90.00, 90.00 degrees
Atoms (fractional coordinates):
Sc 0.000 0.000 0.854
Sc 0.000 0.000 0.146
N 0.500 0.500 0.000
La 0.500 0.500 0.500

---

Entry 2:
First-principles (PBE) data for crystalline DyTlHgPd at its relaxed geometry, as listed in Alexandria.

Output
The calculated density comes out at 12.510 g/cm3. The final energy is -14.140 eV/cell. Its density of states at the Fermi level is 0.591 states/eV per atom. The space group is F-43m (216). For the total magnetization, the calculation gives 0.0 μB per formula unit. The value obtained for the volume is 89.45 Å³ per cell.

Cell lengths 5.020, 5.020, 5.020 Å; angles 60.00, 60.00, 60.00 degrees
Atoms (fractional coordinates):
Tl 0.000 0.000 0.000
Hg 0.250 0.250 0.250
Pd 0.750 0.750 0.750
Dy 0.500 0.500 0.500

---

Entry 3:
First-principles (PBE) data for crystalline KNd2O at its relaxed geometry, as listed in Alexandria.

Output
The calculated density comes out at 4.534 g/cm3. The final energy is -19.801 eV/cell. Its density of states at the Fermi level is 0.865 states/eV per atom. The space group is R-3m (166). For the total magnetization, the calculation gives 1.1 μB per formula unit. The value obtained for the volume is 125.83 Å³ per cell.

Cell lengths 3.744, 3.744, 10.587 Å; angles 79.81, 79.81, 60.00 degrees
Atoms (fractional coordinates):
K 0.000 0.000 0.000
Nd 0.124 0.124 0.628
Nd 0.876 0.876 0.372
O 0.500 0.500 0.500

---

Entry 4:
First-principles (PBE) data for crystalline CsTl8Au6 at its relaxed geometry, as listed in Alexandria.

Output
The calculated density comes out at 10.688 g/cm3. The final energy is -39.578 eV/cell. Its density of states at the Fermi level is 0.330 states/eV per atom. The space group is R-3 (148). For the total magnetization, the calculation gives 0.0 μB per formula unit. The value obtained for the volume is 458.28 Å³ per cell.

Cell lengths 7.919, 7.919, 7.919 Å; angles 75.95, 75.95, 75.95 degrees
Atoms (fractional coordinates):
Cs 0.000 0.000 0.000
Tl 0.230 0.575 0.846
Tl 0.154 0.770 0.425
Tl 0.425 0.154 0.770
Tl 0.731 0.731 0.731
Tl 0.269 0.269 0.269
Tl 0.575 0.846 0.230
Tl 0.846 0.230 0.575
Tl 0.770 0.425 0.154
Au 0.123 0.395 0.621
Au 0.379 0.877 0.605
Au 0.605 0.379 0.877
Au 0.395 0.621 0.123
Au 0.621 0.123 0.395
Au 0.877 0.605 0.379

---

Entry 5:
First-principles (PBE) data for crystalline TbErMnIr at its relaxed geometry, as listed in Alexandria.

Output
The calculated density comes out at 11.462 g/cm3. The final energy is -28.475 eV/cell. Its density of states at the Fermi level is 1.201 states/eV per atom. The space group is F-43m (216). For the total magnetization, the calculation gives 3.3 μB per formula unit. The value obtained for the volume is 83.06 Å³ per cell.

Cell lengths 4.897, 4.897, 4.897 Å; angles 60.00, 60.00, 60.00 degrees
Atoms (fractional coordinates):
Ir 0.500 0.500 0.500
Tb 0.250 0.250 0.250
Mn 0.000 0.000 0.000
Er 0.750 0.750 0.750

---

Entry 6:
First-principles (PBE) data for crystalline MgInCl2 at its relaxed geometry, as listed in Alexandria.

Output
The calculated density comes out at 3.112 g/cm3. As for the excess energy over the best structure of this formula in the dataset: 214 meV per atom. Its density of states at the Fermi level is 0.132 states/eV per atom. The space group is Amm2 (38). For the total magnetization, the calculation gives 0.0 μB per formula unit. The value obtained for the volume is 112.06 Å³ per cell.

Cell lengths 3.591, 6.942, 6.942 Å; angles 40.36, 90.00, 90.00 degrees
Atoms (fractional coordinates):
Cl 0.000 0.912 0.912
Cl 0.500 0.232 0.232
In 0.000 0.572 0.572
Mg 0.500 0.784 0.784

---

Entry 7:
First-principles (PBE) data for crystalline TbPm2Pr4Dy2 at its relaxed geometry, as listed in Alexandria.

Output
The calculated density comes out at 7.203 g/cm3. The final energy is -42.280 eV/cell. Its density of states at the Fermi level is 1.611 states/eV per atom. The space group is C2/m (12). For the total magnetization, the calculation gives 0.0 μB per formula unit. The value obtained for the volume is 308.37 Å³ per cell.

Cell lengths 5.166, 8.166, 8.129 Å; angles 107.59, 90.00, 108.44 degrees
Atoms (fractional coordinates):
Tb 0.000 0.000 0.000
Pm 0.888 0.777 0.330
Pm 0.112 0.223 0.670
Pr 0.778 0.556 0.670
Pr 0.222 0.444 0.330
Pr 0.554 0.109 0.330
Pr 0.446 0.891 0.670
Dy 0.333 0.666 0.000
Dy 0.667 0.334 0.000

---

Entry 8:
First-principles (PBE) data for crystalline Er2Al5Pt4 at its relaxed geometry, as listed in Alexandria.

Output
The calculated density comes out at 10.317 g/cm3. The final energy is -63.160 eV/cell. Its density of states at the Fermi level is 0.348 states/eV per atom. The space group is Fmmm (69). For the total magnetization, the calculation gives 0.0 μB per formula unit. The value obtained for the volume is 201.14 Å³ per cell.

Cell lengths 5.375, 5.332, 8.558 Å; angles 80.89, 71.70, 59.73 degrees
Atoms (fractional coordinates):
Er 0.874 0.000 0.252
Er 0.126 0.000 0.748
Al 0.500 0.000 0.000
Al 0.000 0.500 0.000
Al 0.500 0.500 0.000
Al 0.250 0.500 0.500
Al 0.750 0.500 0.500
Pt 0.470 0.319 0.740
Pt 0.530 0.681 0.260
Pt 0.211 0.319 0.260
Pt 0.789 0.681 0.740